[1]
The following is a GGA-PBE calculation of an optimized crystal structure of NaGaSn, from the Alexandria database.

Values from the calculation:
Raw total energy ... -2.890 eV per atom
Symmetry ... P1, No. 1
Total moment ... 0.0 Bohr magnetons per cell
Theoretical density ... 4530 kg/m3

Cell lengths 6.412, 6.480, 8.536 Å; angles 108.93, 107.08, 97.84 degrees
Positions (direct):
1 Na 0.000 0.000 0.000
2 Na 0.082 0.690 0.598
3 Na 0.297 0.524 0.254
4 Na 0.622 0.483 0.719
5 Ga 0.123 0.172 0.435
6 Ga 0.134 0.301 0.768
7 Ga 0.355 0.731 0.982
8 Ga 0.444 0.053 0.321
9 Sn 0.469 0.089 0.877
10 Sn 0.708 0.966 0.616
11 Sn 0.759 0.316 0.245
12 Sn 0.777 0.769 0.227

***

[2]
The following is a GGA-PBE calculation of an optimized crystal structure of NaGaSn, from the Alexandria database.

Values from the calculation:
Raw total energy ... -2.938 eV per atom
Symmetry ... Ima2, No. 46
Total moment ... 0.0 Bohr magnetons per cell
Theoretical density ... 4615 kg/m3

Cell lengths 6.105, 6.105, 6.105 Å; angles 133.22, 98.03, 100.10 degrees
Positions (direct):
1 Na 0.182 0.250 0.432
2 Na 0.818 0.750 0.568
3 Ga 0.259 0.579 0.180
4 Ga 0.399 0.079 0.820
5 Sn 0.580 0.939 0.141
6 Sn 0.797 0.439 0.859

***

[3]
The following is a GGA-PBE calculation of an optimized crystal structure of NaGaSn, from the Alexandria database.

Values from the calculation:
Raw total energy ... -2.895 eV per atom
Symmetry ... P-6m2, No. 187
Total moment ... 0.0 Bohr magnetons per cell
Theoretical density ... 4922 kg/m3

Cell lengths 5.055, 5.055, 3.223 Å; angles 90.00, 90.00, 120.00 degrees
Positions (direct):
1 Na 0.000 0.000 0.000
2 Ga 0.333 0.667 0.500
3 Sn 0.667 0.333 0.500